A plane-wave DFT calculation with GGA-PBE was carried out for a relaxed Ce3NpS7 crystal.

Values from the calculation:
As for the density of states at the Fermi level: 112.07 states/eV/cell. Its total energy is -314.8 eV per cell.

a = 9.241 Å, b = 13.134 Å, c = 9.311 Å
α = 90.00°, β = 90.00°, γ = 90.00°
Space group Cmcm (No. 63)
Unique sites:
Ce (0.000, 0.000, 0.000) x4
Ce (0.229, 0.271, 0.250) x8
Np (0.000, 0.500, 0.000) x4
S (0.000, 0.132, 0.750) x4
S (0.000, 0.134, 0.250) x4
S (0.000, 0.409, 0.250) x4
S (0.224, 0.374, 0.528) x16



A plane-wave DFT calculation with GGA-PBE was carried out for a relaxed CeNp2S3 crystal.

Values from the calculation:
As for the density of states at the Fermi level: 33.67 states/eV/cell. Its total energy is -107.5 eV per cell.

a = 3.966 Å, b = 5.577 Å, c = 11.772 Å
α = 90.00°, β = 90.00°, γ = 90.00°
Space group Immm (No. 71)
Unique sites:
Ce (0.000, 0.000, 0.000) x2
Np (0.000, 0.000, 0.335) x4
S (0.000, 0.500, 0.000) x2
S (0.000, 0.500, 0.327) x4